Entry from Alexandria via LeMat-Bulk: a relaxed structure of CrTc2Ru (PBE).

Cell and atoms, written as POSCAR:
```
CrTc2Ru
1.0
4.379 0.000 0.000
0.000 4.379 0.000
0.000 0.000 2.911
Cr Ru Tc
1 1 2
Cartesian
2.190 0.000 1.455
0.000 2.190 1.455
0.000 0.000 0.000
2.190 2.190 0.000
```

Space-group type = P4/mmm (123)
Formation energy = 0.30 eV per atom
Raw total energy = -38.45 eV/cell
ΔE to the lowest computed polymorph = 190 meV per atom